(1)
Below is a geometry-optimized Ti6Ru5W structure, with properties calculated at the PBE-GGA level.

Values from the calculation:
density of states at the Fermi level	0.45	states/eV per atom
space group	Immm, No. 71
energy of formation	-0.625	eV/atom

Cell lengths 7.590, 7.590, 7.590 Å; angles 146.53, 131.83, 59.92 degrees
Fractional positions:
1 Ti 0.083 0.333 0.750
2 Ti 0.249 0.000 0.249
3 Ti 0.417 0.667 0.750
4 Ti 0.583 0.333 0.250
5 Ti 0.751 0.000 0.751
6 Ti 0.917 0.667 0.250
7 Ru 0.000 0.500 0.500
8 Ru 0.167 0.167 0.000
9 Ru 0.332 0.832 0.500
10 Ru 0.668 0.168 0.500
11 Ru 0.833 0.833 0.000
12 W 0.500 0.500 0.000


(2)
Below is a geometry-optimized Y2Al4HgPt3 structure, with properties calculated at the PBE-GGA level.

Values from the calculation:
density of states at the Fermi level	0.56	states/eV per atom
space group	P-4m2, No. 115
energy of formation	-0.919	eV/atom

Cell lengths 4.266, 4.266, 10.616 Å; angles 90.00, 90.00, 90.00 degrees
Fractional positions:
1 Y 0.000 0.500 0.239
2 Y 0.500 0.000 0.761
3 Al 0.000 0.000 0.000
4 Al 0.000 0.500 0.642
5 Al 0.500 0.000 0.358
6 Al 0.500 0.500 0.000
7 Hg 0.000 0.000 0.500
8 Pt 0.000 0.500 0.870
9 Pt 0.500 0.000 0.130
10 Pt 0.500 0.500 0.500


(3)
Below is a geometry-optimized NaCd structure, with properties calculated at the PBE-GGA level.

Values from the calculation:
density of states at the Fermi level	0.42	states/eV per atom
space group	Pnma, No. 62
energy of formation	-0.078	eV/atom

Cell lengths 8.878, 5.175, 9.407 Å; angles 90.00, 90.00, 90.00 degrees
Fractional positions:
1 Na 0.103 0.250 0.225
2 Na 0.198 0.750 0.024
3 Na 0.302 0.250 0.524
4 Na 0.397 0.750 0.725
5 Na 0.603 0.250 0.275
6 Na 0.698 0.750 0.476
7 Na 0.802 0.250 0.976
8 Na 0.897 0.750 0.775
9 Cd 0.064 0.750 0.444
10 Cd 0.130 0.250 0.824
11 Cd 0.370 0.750 0.324
12 Cd 0.436 0.250 0.944
13 Cd 0.564 0.750 0.056
14 Cd 0.630 0.250 0.676
15 Cd 0.870 0.750 0.176
16 Cd 0.936 0.250 0.556


(4)
Below is a geometry-optimized DyUIrPd structure, with properties calculated at the PBE-GGA level.

Values from the calculation:
density of states at the Fermi level	1.53	states/eV per atom
space group	F-43m, No. 216
energy of formation	-0.512	eV/atom

Cell lengths 4.896, 4.896, 4.896 Å; angles 60.00, 60.00, 60.00 degrees
Fractional positions:
1 Dy 0.000 0.000 0.000
2 U 0.500 0.500 0.500
3 Ir 0.250 0.250 0.250
4 Pd 0.750 0.750 0.750